(1)
Compound: UBrF3
Source: Alexandria
Functional: GGA-PBE
Structure: optimized geometry

a b c (Å): 5.4194 5.5629 6.3851
angles (deg): 86.58 89.94 90.00
With the nearest neighbours (Å) after each atom.
Fractional positions:
U  0.0000  0.0000  0.0000  3 F 2.03-2.24
U  0.2309  0.4999  0.4999  3 F 2.03-2.24
Br  0.4841  0.7509  0.0691  3 U 2.99-3.31, 8 F 3.06-3.32
Br  0.7472  0.2511  0.5714  3 U 2.99-3.30, 8 F 3.06-3.31
F  0.0208  0.7244  0.7606  2 U 2.23-2.42
F  0.2107  0.2236  0.2612  2 U 2.23-2.43
F  0.2419  0.2476  0.8013  2 U 2.24-2.31
F  0.4576  0.7747  0.5692  1 U 2.03
F  0.7734  0.2740  0.0721  1 U 2.03
F  0.9891  0.7468  0.3008  2 U 2.24-2.31

## Properties
SG: P1, No. 1
electronic total energy: -33.29 eV per formula unit
crystal system: triclinic

---

(2)
Compound: UBr2F2
Source: Alexandria
Functional: GGA-PBE
Structure: optimized geometry

a b c (Å): 7.1064 7.1064 6.2607
angles (deg): 100.49 100.49 49.42
With the nearest neighbours (Å) after each atom.
Fractional positions:
U  0.2050  0.7950  0.7500  4 F 2.30-2.35
U  0.7950  0.2050  0.2500  4 F 2.30-2.35
Br  0.2958  0.4445  0.3742  2 U 2.91-2.96, 3 F 3.04-3.24, 2 Br 3.25
Br  0.4445  0.2958  0.8742  2 U 2.91-2.96, 3 F 3.04-3.24, 2 Br 3.25
Br  0.5555  0.7042  0.1258  2 U 2.91-2.96, 3 F 3.04-3.24, 2 Br 3.25
Br  0.7042  0.5555  0.6258  2 U 2.91-2.96, 3 F 3.04-3.24, 2 Br 3.25
F  0.0263  0.1498  0.9842  2 U 2.30-2.35, 1 F 2.43
F  0.1498  0.0263  0.4842  2 U 2.30-2.35, 1 F 2.43
F  0.8502  0.9737  0.5158  2 U 2.30-2.35, 1 F 2.43
F  0.9737  0.8502  0.0158  2 U 2.30-2.35, 1 F 2.43

## Properties
SG: C2/c, No. 15
electronic total energy: -30.04 eV per formula unit
crystal system: monoclinic

---

(3)
Compound: UBrF4
Source: Alexandria
Functional: GGA-PBE
Structure: optimized geometry

a b c (Å): 7.8641 3.5576 7.6064
angles (deg): 90.00 90.00 90.00
With the nearest neighbours (Å) after each atom.
Fractional positions:
U  0.2500  0.0000  0.1519  8 F 2.28-2.31
U  0.7500  0.0000  0.8481  8 F 2.28-2.31
Br  0.2500  0.0000  0.5139  1 U 2.75, 4 F 3.03
Br  0.7500  0.0000  0.4861  1 U 2.75, 4 F 3.03
F  0.0000  0.0000  0.0000  2 U 2.28
F  0.0874  0.5000  0.2388  2 U 2.29, 2 F 2.49-2.56
F  0.2500  0.5000  0.9575  2 U 2.31, 2 F 2.49
F  0.4126  0.5000  0.2388  2 U 2.29, 2 F 2.49-2.56
F  0.5000  0.0000  0.0000  2 U 2.28
F  0.5874  0.5000  0.7612  2 U 2.29, 2 F 2.49-2.56
F  0.7500  0.5000  0.0425  2 U 2.31, 2 F 2.49
F  0.9126  0.5000  0.7612  2 U 2.29, 2 F 2.49-2.56

## Properties
SG: Pmma, No. 51
electronic total energy: -37.79 eV per formula unit
crystal system: orthorhombic